Record 1
## Sc4SeS3 (PBE)

Data for a relaxed structure of Sc4SeS3.

CIF file:
```
data_Sc4SeS3
_cell_length_a 5.2895
_cell_length_b 5.2895
_cell_length_c 5.2895
_cell_angle_alpha 90.00
_cell_angle_beta 90.00
_cell_angle_gamma 90.00
_space_group_name_H-M_alt 'P m -3 m'
_space_group_IT_number 221
_space_group_name_Hall '-P 4 2 3'
loop_
_atom_site_label
_atom_site_type_symbol
_atom_site_fract_x
_atom_site_fract_y
_atom_site_fract_z
_atom_site_occupancy
Sc1 Sc 0.0000 0.0000 0.0000 1
Sc2 Sc 0.0000 0.5000 0.5000 1
Se1 Se 0.5000 0.5000 0.5000 1
S1 S 0.0000 0.0000 0.5000 1
```

Summary:
The value obtained for the raw formation energy is -1368 kJ/mol of formula units. Its total DFT energy (no corrections) is -55.4 eV/cell. The calculation puts the total magnetization at 0.0 μB/cell. As for the energy above the most stable polymorph in this dataset: 0.0349 eV per atom.

Record 2
## ScSeS3 (PBE)

Data for a relaxed structure of ScSeS3.

CIF file:
```
data_ScSeS3
_cell_length_a 4.8890
_cell_length_b 4.8890
_cell_length_c 4.8890
_cell_angle_alpha 90.00
_cell_angle_beta 90.00
_cell_angle_gamma 90.00
_space_group_name_H-M_alt 'P m -3 m'
_space_group_IT_number 221
_space_group_name_Hall '-P 4 2 3'
loop_
_atom_site_label
_atom_site_type_symbol
_atom_site_fract_x
_atom_site_fract_y
_atom_site_fract_z
_atom_site_occupancy
Sc1 Sc 0.0000 0.0000 0.0000 1
Se1 Se 0.5000 0.5000 0.5000 1
S1 S 0.0000 0.0000 0.5000 1
```

Summary:
The value obtained for the raw formation energy is -4 kJ/mol of formula units. Its total DFT energy (no corrections) is -22.2 eV/cell. The calculation puts the total magnetization at 0.0 μB/cell. As for the energy above the most stable polymorph in this dataset: 0.0036 eV per atom.

Record 3
## Sc5Se4S (PBE)

Data for a relaxed structure of Sc5Se4S.

CIF file:
```
data_Sc5Se4S
_cell_length_a 3.8263
_cell_length_b 5.4121
_cell_length_c 19.3173
_cell_angle_alpha 90.00
_cell_angle_beta 90.00
_cell_angle_gamma 90.00
_space_group_name_H-M_alt 'I m m m'
_space_group_IT_number 71
_space_group_name_Hall '-I 2 2'
loop_
_atom_site_label
_atom_site_type_symbol
_atom_site_fract_x
_atom_site_fract_y
_atom_site_fract_z
_atom_site_occupancy
Sc1 Sc 0.0000 0.0000 0.0000 1
Sc2 Sc 0.0000 0.0000 0.2026 1
Sc3 Sc 0.0000 0.0000 0.4094 1
Se1 Se 0.0000 0.5000 0.1959 1
Se2 Se 0.0000 0.5000 0.3992 1
S1 S 0.0000 0.5000 0.0000 1
```

Summary:
The value obtained for the raw formation energy is -1583 kJ/mol of formula units. Its total DFT energy (no corrections) is -132.3 eV/cell. The calculation puts the total magnetization at 0.0 μB/cell. As for the energy above the most stable polymorph in this dataset: 0.0140 eV per atom.

Record 4
## Sc2SeS (PBE)

Data for a relaxed structure of Sc2SeS.

CIF file:
```
data_Sc2SeS
_cell_length_a 3.9163
_cell_length_b 3.9163
_cell_length_c 22.1758
_cell_angle_alpha 90.00
_cell_angle_beta 90.00
_cell_angle_gamma 120.00
_space_group_name_H-M_alt 'R -3 m'
_space_group_IT_number 166
_space_group_name_Hall '-R 3 2"'
loop_
_atom_site_label
_atom_site_type_symbol
_atom_site_fract_x
_atom_site_fract_y
_atom_site_fract_z
_atom_site_occupancy
Sc1 Sc 0.0000 0.0000 0.1111 1
Se1 Se 0.0000 0.0000 0.0000 1
S1 S 0.0000 0.0000 0.5000 1
```

Summary:
The value obtained for the raw formation energy is -475 kJ/mol of formula units. Its total DFT energy (no corrections) is -75.6 eV/cell. The calculation puts the total magnetization at 0.0 μB/cell. As for the energy above the most stable polymorph in this dataset: 0.5327 eV per atom.

Record 5
## Sc2SeS (PBE)

Data for a relaxed structure of Sc2SeS.

CIF file:
```
data_Sc2SeS
_cell_length_a 5.9069
_cell_length_b 5.9069
_cell_length_c 11.7812
_cell_angle_alpha 90.00
_cell_angle_beta 90.00
_cell_angle_gamma 90.00
_space_group_name_H-M_alt 'I -4 2 d'
_space_group_IT_number 122
_space_group_name_Hall 'I -4 2bw'
loop_
_atom_site_label
_atom_site_type_symbol
_atom_site_fract_x
_atom_site_fract_y
_atom_site_fract_z
_atom_site_occupancy
Sc1 Sc 0.2318 0.2500 0.1250 1
Se1 Se 0.0000 0.0000 0.5000 1
S1 S 0.0000 0.0000 0.0000 1
```

Summary:
The value obtained for the raw formation energy is -542 kJ/mol of formula units. Its total DFT energy (no corrections) is -103.5 eV/cell. The calculation puts the total magnetization at 0.0 μB/cell. As for the energy above the most stable polymorph in this dataset: 0.3615 eV per atom.

Record 6
## Sc4SeS3 (PBE)

Data for a relaxed structure of Sc4SeS3.

CIF file:
```
data_Sc4SeS3
_cell_length_a 7.5126
_cell_length_b 10.5848
_cell_length_c 3.7201
_cell_angle_alpha 90.00
_cell_angle_beta 90.00
_cell_angle_gamma 90.00
_space_group_name_H-M_alt 'C m m m'
_space_group_IT_number 65
_space_group_name_Hall '-C 2 2'
loop_
_atom_site_label
_atom_site_type_symbol
_atom_site_fract_x
_atom_site_fract_y
_atom_site_fract_z
_atom_site_occupancy
Sc1 Sc 0.0000 0.2385 0.0000 1
Sc2 Sc 0.2281 0.0000 0.5000 1
Se1 Se 0.0000 0.5000 0.0000 1
S1 S 0.0000 0.0000 0.0000 1
S2 S 0.2500 0.2500 0.5000 1
```

Summary:
The value obtained for the raw formation energy is -1395 kJ/mol of formula units. Its total DFT energy (no corrections) is -111.3 eV/cell. The calculation puts the total magnetization at 0.0 μB/cell. As for the energy above the most stable polymorph in this dataset: 0.0000 eV per atom.

Record 7
## Sc2SeS (PBE)

Data for a relaxed structure of Sc2SeS.

CIF file:
```
data_Sc2SeS
_cell_length_a 6.6338
_cell_length_b 6.6338
_cell_length_c 6.6338
_cell_angle_alpha 90.00
_cell_angle_beta 90.00
_cell_angle_gamma 90.00
_space_group_name_H-M_alt 'F m -3 m'
_space_group_IT_number 225
_space_group_name_Hall '-F 4 2 3'
loop_
_atom_site_label
_atom_site_type_symbol
_atom_site_fract_x
_atom_site_fract_y
_atom_site_fract_z
_atom_site_occupancy
Sc1 Sc 0.2500 0.2500 0.2500 1
Se1 Se 0.0000 0.0000 0.0000 1
S1 S 0.0000 0.0000 0.5000 1
```

Summary:
The value obtained for the raw formation energy is -534 kJ/mol of formula units. Its total DFT energy (no corrections) is -103.2 eV/cell. The calculation puts the total magnetization at 5.6 μB/cell. As for the energy above the most stable polymorph in this dataset: 0.3810 eV per atom.

Record 8
## Sc4Se3S (PBE)

Data for a relaxed structure of Sc4Se3S.

CIF file:
```
data_Sc4Se3S
_cell_length_a 8.3000
_cell_length_b 7.0766
_cell_length_c 7.0844
_cell_angle_alpha 90.00
_cell_angle_beta 90.00
_cell_angle_gamma 90.00
_space_group_name_H-M_alt 'P m n 21'
_space_group_IT_number 31
_space_group_name_Hall 'P 2ac -2'
loop_
_atom_site_label
_atom_site_type_symbol
_atom_site_fract_x
_atom_site_fract_y
_atom_site_fract_z
_atom_site_occupancy
Sc1 Sc 0.0000 0.1102 0.0000 1
Sc2 Sc 0.0000 0.8427 0.5893 1
Sc3 Sc 0.2058 0.7036 0.9978 1
Se1 Se 0.0000 0.2125 0.6339 1
Se2 Se 0.2286 0.3463 0.1326 1
S1 S 0.0000 0.8329 0.2248 1
```

Summary:
The value obtained for the raw formation energy is -1037 kJ/mol of formula units. Its total DFT energy (no corrections) is -101.3 eV/cell. The calculation puts the total magnetization at 4.0 μB/cell. As for the energy above the most stable polymorph in this dataset: 0.3303 eV per atom.

Record 9
## Sc4SeS4 (PBE)

Data for a relaxed structure of Sc4SeS4.

CIF file:
```
data_Sc4SeS4
_cell_length_a 12.4671
_cell_length_b 3.7125
_cell_length_c 9.2035
_cell_angle_alpha 90.00
_cell_angle_beta 120.29
_cell_angle_gamma 90.00
_space_group_name_H-M_alt 'C 1 2/m 1'
_space_group_IT_number 12
_space_group_name_Hall '-C 2y'
loop_
_atom_site_label
_atom_site_type_symbol
_atom_site_fract_x
_atom_site_fract_y
_atom_site_fract_z
_atom_site_occupancy
Sc1 Sc 0.1024 0.0000 0.3875 1
Sc2 Sc 0.2101 0.5000 0.8134 1
Se1 Se 0.0000 0.5000 0.5000 1
S1 S 0.1041 0.0000 0.8935 1
S2 S 0.2028 0.5000 0.3019 1
```

Summary:
The value obtained for the raw formation energy is -1623 kJ/mol of formula units. Its total DFT energy (no corrections) is -124.3 eV/cell. The calculation puts the total magnetization at 0.0 μB/cell.

Record 10
## Sc8SiSe4S3 (PBE)

Data for a relaxed structure of Sc8SiSe4S3.

CIF file:
```
data_Sc8SiSe4S3
_cell_length_a 7.5690
_cell_length_b 7.5690
_cell_length_c 18.8947
_cell_angle_alpha 90.00
_cell_angle_beta 90.00
_cell_angle_gamma 120.00
_space_group_name_H-M_alt 'R -3 m'
_space_group_IT_number 166
_space_group_name_Hall '-R 3 2"'
loop_
_atom_site_label
_atom_site_type_symbol
_atom_site_fract_x
_atom_site_fract_y
_atom_site_fract_z
_atom_site_occupancy
Sc1 Sc 0.0000 0.0000 0.2403 1
Sc2 Sc 0.0012 0.5006 0.2420 1
Si1 Si 0.0000 0.0000 0.5000 1
Se1 Se 0.0000 0.0000 0.0000 1
Se2 Se 0.0000 0.5000 0.0000 1
S1 S 0.0000 0.5000 0.5000 1
```

Summary:
The value obtained for the raw formation energy is -2515 kJ/mol of formula units. Its total DFT energy (no corrections) is -325.4 eV/cell. The calculation puts the total magnetization at 0.0 μB/cell.

Record 11
## Sc6Si2SeS3 (PBE)

Data for a relaxed structure of Sc6Si2SeS3.

CIF file:
```
data_Sc6Si2SeS3
_cell_length_a 16.5073
_cell_length_b 3.7640
_cell_length_c 7.6230
_cell_angle_alpha 90.00
_cell_angle_beta 103.50
_cell_angle_gamma 90.00
_space_group_name_H-M_alt 'C 1 2/m 1'
_space_group_IT_number 12
_space_group_name_Hall '-C 2y'
loop_
_atom_site_label
_atom_site_type_symbol
_atom_site_fract_x
_atom_site_fract_y
_atom_site_fract_z
_atom_site_occupancy
Sc1 Sc 0.0046 0.0000 0.2652 1
Sc2 Sc 0.1656 0.5000 0.5863 1
Sc3 Sc 0.1703 0.5000 0.0937 1
Si1 Si 0.1681 0.0000 0.3376 1
Se1 Se 0.0000 0.5000 0.0000 1
S1 S 0.0000 0.5000 0.5000 1
S2 S 0.1638 0.0000 0.8377 1
```

Summary:
The value obtained for the raw formation energy is -1686 kJ/mol of formula units. Its total DFT energy (no corrections) is -164.4 eV/cell. The calculation puts the total magnetization at 0.0 μB/cell.